## LiFeCuN2 (PBE)

Data for a relaxed LiFeCuN2 crystal.

For the formation energy (no corrections), the calculation gives 1.59 eV per atom. Its total moment is 3.526 Bohr magnetons per cell. The total energy is -4.637 eV per atom.

The space group is P4/mmm (No. 123) and the conventional cell measures 3.6787, 3.6787 and 3.7543 Å, with angles of 90.00, 90.00 and 90.00 degrees. Symmetry generates all atoms from Li at (0.0000, 0.0000, 0.0000), Fe at (0.5000, 0.5000, 0.5000), Cu at (0.0000, 0.0000, 0.5000) and N at (0.0000, 0.5000, 0.0000).